[1]
Entry from Alexandria: an optimized crystal structure of Ac3LaSm2Y6 (PBE-GGA).

a b c (Å): 6.4579 6.4579 12.0249
angles (deg): 95.13 95.13 119.99
Sites, in units of the cell vectors:
Ac (0.1668, 0.8332, 0.5000)
Ac (0.8332, 0.1668, 0.5000)
Ac (0.5000, 0.5000, 0.5000)
La (0.0000, 0.0000, 0.0000)
Sm (0.3333, 0.6667, 0.0000)
Sm (0.6667, 0.3333, 0.0000)
Y (0.9188, 0.5841, 0.7559)
Y (0.7466, 0.7466, 0.2442)
Y (0.0812, 0.4159, 0.2441)
Y (0.5841, 0.9188, 0.7559)
Y (0.2534, 0.2534, 0.7558)
Y (0.4159, 0.0812, 0.2441)

## Properties
For the magnetic moment, the calculation gives 0.00 μB per cell. The space-group type is C2/m, No. 12. The value obtained for the formation energy is 0.035 eV per atom. The calculated total energy is -65.05 eV per cell. The calculated volume comes out at 427.34 Å³/cell.

[2]
Entry from Alexandria: an optimized crystal structure of Ac5LaSm2Y (PBE-GGA).

a b c (Å): 5.8706 11.5752 11.2220
angles (deg): 90.00 90.00 104.69
Sites, in units of the cell vectors:
Ac (0.3724, 0.7449, 0.0084)
Ac (0.7180, 0.4361, 0.8205)
Ac (0.4999, 0.9998, 0.7578)
Ac (0.2828, 0.5656, 0.6970)
Ac (0.9974, 0.9949, 0.5079)
Ac (0.6276, 0.2551, 0.5084)
Ac (0.2820, 0.5639, 0.3205)
Ac (0.5001, 0.0002, 0.2578)
Ac (0.7172, 0.4344, 0.1970)
Ac (0.0026, 0.0051, 0.0079)
La (0.7988, 0.5977, 0.5087)
La (0.2012, 0.4023, 0.0087)
Sm (0.8877, 0.7753, 0.7644)
Sm (0.1127, 0.2254, 0.7519)
Sm (0.1123, 0.2247, 0.2644)
Sm (0.8873, 0.7746, 0.2519)
Y (0.5978, 0.1957, 0.0074)
Y (0.4022, 0.8043, 0.5074)

## Properties
For the magnetic moment, the calculation gives 0.00 μB per cell. The space-group type is Cmc2_1, No. 36. The value obtained for the formation energy is 0.140 eV per atom. The calculated total energy is -80.22 eV per cell. The calculated volume comes out at 737.65 Å³/cell.

[3]
Entry from Alexandria: an optimized crystal structure of AcLa2SmY (PBE-GGA).

a b c (Å): 6.0008 6.5644 10.0371
angles (deg): 70.84 90.00 90.00
Sites, in units of the cell vectors:
Ac (0.7500, 0.5689, 0.1988)
Ac (0.2500, 0.4311, 0.8012)
La (0.7500, 0.7750, 0.7981)
La (0.2500, 0.2250, 0.2019)
La (0.2500, 0.0408, 0.5928)
La (0.7500, 0.9592, 0.4072)
Sm (0.7500, 0.3604, 0.6001)
Sm (0.2500, 0.6396, 0.3999)
Y (0.2500, 0.8407, 0.9983)
Y (0.7500, 0.1593, 0.0017)

## Properties
For the magnetic moment, the calculation gives 0.00 μB per cell. The space-group type is P2_1/m, No. 11. The value obtained for the formation energy is 0.042 eV per atom. The calculated total energy is -49.88 eV per cell. The calculated volume comes out at 373.49 Å³/cell.

Please write out number 2 again, unchanged.
Entry from Alexandria: an optimized crystal structure of Ac5LaSm2Y (PBE-GGA).

a b c (Å): 5.8706 11.5752 11.2220
angles (deg): 90.00 90.00 104.69
Sites, in units of the cell vectors:
Ac (0.3724, 0.7449, 0.0084)
Ac (0.7180, 0.4361, 0.8205)
Ac (0.4999, 0.9998, 0.7578)
Ac (0.2828, 0.5656, 0.6970)
Ac (0.9974, 0.9949, 0.5079)
Ac (0.6276, 0.2551, 0.5084)
Ac (0.2820, 0.5639, 0.3205)
Ac (0.5001, 0.0002, 0.2578)
Ac (0.7172, 0.4344, 0.1970)
Ac (0.0026, 0.0051, 0.0079)
La (0.7988, 0.5977, 0.5087)
La (0.2012, 0.4023, 0.0087)
Sm (0.8877, 0.7753, 0.7644)
Sm (0.1127, 0.2254, 0.7519)
Sm (0.1123, 0.2247, 0.2644)
Sm (0.8873, 0.7746, 0.2519)
Y (0.5978, 0.1957, 0.0074)
Y (0.4022, 0.8043, 0.5074)

## Properties
For the magnetic moment, the calculation gives 0.00 μB per cell. The space-group type is Cmc2_1, No. 36. The value obtained for the formation energy is 0.140 eV per atom. The calculated total energy is -80.22 eV per cell. The calculated volume comes out at 737.65 Å³/cell.

Repeat the second record exactly.
Entry from Alexandria: an optimized crystal structure of Ac5LaSm2Y (PBE-GGA).

a b c (Å): 5.8706 11.5752 11.2220
angles (deg): 90.00 90.00 104.69
Sites, in units of the cell vectors:
Ac (0.3724, 0.7449, 0.0084)
Ac (0.7180, 0.4361, 0.8205)
Ac (0.4999, 0.9998, 0.7578)
Ac (0.2828, 0.5656, 0.6970)
Ac (0.9974, 0.9949, 0.5079)
Ac (0.6276, 0.2551, 0.5084)
Ac (0.2820, 0.5639, 0.3205)
Ac (0.5001, 0.0002, 0.2578)
Ac (0.7172, 0.4344, 0.1970)
Ac (0.0026, 0.0051, 0.0079)
La (0.7988, 0.5977, 0.5087)
La (0.2012, 0.4023, 0.0087)
Sm (0.8877, 0.7753, 0.7644)
Sm (0.1127, 0.2254, 0.7519)
Sm (0.1123, 0.2247, 0.2644)
Sm (0.8873, 0.7746, 0.2519)
Y (0.5978, 0.1957, 0.0074)
Y (0.4022, 0.8043, 0.5074)

## Properties
For the magnetic moment, the calculation gives 0.00 μB per cell. The space-group type is Cmc2_1, No. 36. The value obtained for the formation energy is 0.140 eV per atom. The calculated total energy is -80.22 eV per cell. The calculated volume comes out at 737.65 Å³/cell.